(1)
This record from Alexandria via LeMat-Bulk describes an optimized crystal structure of TbNd2HoTl2. The functional is PBE-GGA.

Results
The formation energy is -26.0 kJ per mole of atoms.

a b c (Å): 5.162 6.885 10.212
angles (deg): 90.00 90.00 90.00
Element x y z (fractional)
Tb: 0.000 0.962 0.459
Tb: 0.000 0.462 0.541
Nd: 0.500 0.058 0.043
Nd: 0.000 0.328 0.187
Nd: 0.500 0.558 0.957
Nd: 0.000 0.828 0.813
Ho: 0.500 0.181 0.684
Ho: 0.500 0.681 0.316
Tl: 0.000 0.299 0.855
Tl: 0.500 0.218 0.375
Tl: 0.000 0.799 0.145
Tl: 0.500 0.718 0.625

(2)
This record from Alexandria via LeMat-Bulk describes an optimized crystal structure of LiTlAg4. The functional is PBE-GGA.

Results
The formation energy is -3.4 kJ per mole of atoms.

a b c (Å): 4.825 5.091 9.188
angles (deg): 90.00 90.00 90.00
Element x y z (fractional)
Li: 0.500 0.023 0.000
Li: 0.500 0.523 0.500
Tl: 0.000 0.664 0.000
Tl: 0.000 0.164 0.500
Ag: 0.999 0.158 0.165
Ag: 0.499 0.999 0.327
Ag: 0.499 0.499 0.173
Ag: 0.999 0.658 0.335
Ag: 0.501 0.499 0.827
Ag: 0.001 0.658 0.665
Ag: 0.001 0.158 0.835
Ag: 0.501 0.999 0.673